1.
A plane-wave DFT calculation with PBE was carried out for TaInTe3 after structural relaxation.

a b c (Å): 6.174 7.732 7.732
angles (deg): 120.03 89.99 90.01
Fractional coordinates of all 10 atoms:
In 0.250 0.333 0.667
In 0.750 0.667 0.334
Te 0.250 0.349 0.175
Te 0.250 0.825 0.651
Te 0.750 0.651 0.825
Te 0.750 0.175 0.349
Te 0.250 0.825 0.175
Te 0.750 0.175 0.825
Ta 0.000 0.000 0.000
Ta 0.500 0.000 0.000

- Energy relative to the lowest polymorph listed for this composition: 0.000 eV per atom
- Formation energy from raw total energies: -0.90 eV/f.u.



2.
A plane-wave DFT calculation with PBE was carried out for Mg5NiHg2Pd2 after structural relaxation.

a b c (Å): 3.039 11.225 11.225
angles (deg): 90.00 90.00 90.00
Fractional coordinates of all 20 atoms:
Mg 0.500 0.191 0.042
Mg 0.500 0.691 0.458
Mg 0.500 0.809 0.958
Mg 0.500 0.542 0.691
Mg 0.500 0.000 0.500
Mg 0.500 0.458 0.309
Mg 0.500 0.958 0.191
Mg 0.500 0.042 0.809
Mg 0.500 0.309 0.542
Mg 0.500 0.500 0.000
Hg 0.000 0.678 0.178
Hg 0.000 0.178 0.322
Hg 0.000 0.822 0.678
Hg 0.000 0.322 0.822
Pd 0.000 0.361 0.139
Pd 0.000 0.139 0.639
Pd 0.000 0.639 0.861
Pd 0.000 0.861 0.361
Ni 0.000 0.000 0.000
Ni 0.000 0.500 0.500

- Formation enthalpy at 0 K: -323 meV/atom



3.
A plane-wave DFT calculation with PBE was carried out for Pm12InPt6 after structural relaxation.

a b c (Å): 8.900 8.900 8.900
angles (deg): 109.47 109.47 109.47
Fractional coordinates of all 19 atoms:
Pm 0.820 0.698 0.517
Pm 0.820 0.302 0.122
Pm 0.302 0.483 0.180
Pm 0.517 0.820 0.698
Pm 0.180 0.302 0.483
Pm 0.122 0.820 0.302
Pm 0.483 0.180 0.302
Pm 0.698 0.517 0.820
Pm 0.302 0.122 0.820
Pm 0.698 0.878 0.180
Pm 0.180 0.698 0.878
Pm 0.878 0.180 0.698
Pt 0.364 0.500 0.864
Pt 0.636 0.500 0.136
Pt 0.864 0.364 0.500
Pt 0.500 0.864 0.364
Pt 0.500 0.136 0.636
Pt 0.136 0.636 0.500
In 0.000 0.000 0.000

- Energy relative to the lowest polymorph listed for this composition: 0.000 eV per atom
- Formation enthalpy at 0 K: -778 meV/atom



4.
A plane-wave DFT calculation with PBE was carried out for YInTe3 after structural relaxation.

a b c (Å): 5.898 5.898 5.898
angles (deg): 90.00 90.00 90.00
Fractional coordinates of all 5 atoms:
Te 0.000 0.000 0.500
Te 0.500 0.000 0.000
Te 0.000 0.500 0.000
In 0.500 0.500 0.500
Y 0.000 0.000 0.000

- Energy relative to the lowest polymorph listed for this composition: 0.468 eV per atom
- Formation energy from raw total energies: -1.92 eV/f.u.



5.
A plane-wave DFT calculation with PBE was carried out for PPtCl4 after structural relaxation.

a b c (Å): 5.584 5.584 5.584
angles (deg): 60.00 60.00 60.00
Fractional coordinates of all 6 atoms:
Cl 0.374 0.374 0.374
Cl 0.374 0.878 0.374
Cl 0.374 0.374 0.878
Cl 0.878 0.374 0.374
Pt 0.000 0.000 0.000
P 0.750 0.750 0.750

- Formation energy from raw total energies: 8.44 eV/f.u.



6.
A plane-wave DFT calculation with PBE was carried out for Ba2InGaTe5 after structural relaxation.

a b c (Å): 4.431 11.102 13.681
angles (deg): 90.00 90.00 101.51
Fractional coordinates of all 18 atoms:
In 0.228 0.456 0.023
In 0.772 0.544 0.523
Te 0.644 0.288 0.489
Te 0.681 0.363 0.884
Te 0.961 0.922 0.556
Te 0.039 0.078 0.056
Te 0.280 0.560 0.670
Te 0.720 0.440 0.170
Te 0.356 0.712 0.989
Te 0.494 0.988 0.278
Te 0.506 0.012 0.778
Te 0.319 0.637 0.384
Ga 0.436 0.873 0.448
Ga 0.564 0.127 0.948
Ba 0.118 0.235 0.295
Ba 0.882 0.765 0.795
Ba 0.115 0.230 0.682
Ba 0.885 0.770 0.182

- Formation energy from raw total energies: -8.64 eV/f.u.



What is the formula in the sixth record? Ba2InGaTe5